1.
Entry from Alexandria via LeMat-Bulk: a geometry-optimized MgMo2Os2 structure (PBE-GGA).

Cell lengths 6.212, 6.212, 6.212 Å; angles 141.08, 141.08, 56.22 degrees
Sites, in units of the cell vectors:
Mg 0.000 0.000 0.000
Mo 0.382 0.382 0.000
Mo 0.618 0.618 0.000
Os 0.250 0.750 0.500
Os 0.750 0.250 0.500

The space group is I4/mmm (139). The excess energy over the best structure of this formula in the dataset comes out at 276.9 meV per atom. The calculated formation energy is 0.499 eV/atom.

2.
Entry from Alexandria via LeMat-Bulk: a geometry-optimized Mg2MoOs structure (PBE-GGA).

Cell lengths 3.102, 3.102, 7.200 Å; angles 90.00, 90.00, 90.00 degrees
Sites, in units of the cell vectors:
Mg 0.000 0.000 0.000
Mg 0.500 0.500 0.301
Mo 0.000 0.000 0.563
Os 0.500 0.500 0.756

The space group is P4mm (99). The excess energy over the best structure of this formula in the dataset comes out at 0.0 meV per atom. The calculated formation energy is 0.038 eV/atom.

3.
Entry from Alexandria via LeMat-Bulk: a geometry-optimized MgMoOs2 structure (PBE-GGA).

Cell lengths 5.177, 5.177, 5.177 Å; angles 145.95, 127.16, 64.37 degrees
Sites, in units of the cell vectors:
Mg 0.000 0.000 0.000
Mo 0.500 0.500 0.000
Os 0.262 0.762 0.500
Os 0.738 0.238 0.500

The space group is Immm (71). The calculated formation energy is 0.267 eV/atom.

4.
Entry from Alexandria via LeMat-Bulk: a geometry-optimized MgMoOs2Pd structure (PBE-GGA).

Cell lengths 4.434, 4.434, 4.486 Å; angles 90.00, 90.00, 90.00 degrees
Sites, in units of the cell vectors:
Mg 0.000 0.000 0.000
Mo 0.000 0.000 0.500
Os 0.000 0.500 0.000
Os 0.500 0.000 0.000
Pd 0.500 0.500 0.500

The space group is P4/mmm (123). The calculated formation energy is 2.214 eV/atom.

5.
Entry from Alexandria via LeMat-Bulk: a geometry-optimized MgMoOsRu structure (PBE-GGA).

Cell lengths 4.386, 4.386, 4.386 Å; angles 60.00, 60.00, 60.00 degrees
Sites, in units of the cell vectors:
Mg 0.000 0.000 0.000
Mo 0.500 0.500 0.500
Os 0.750 0.750 0.750
Ru 0.250 0.250 0.250

The space group is F-43m (216). The calculated formation energy is -0.008 eV/atom.

6.
Entry from Alexandria via LeMat-Bulk: a geometry-optimized Mg2SnMoOs structure (PBE-GGA).

Cell lengths 4.938, 4.938, 5.075 Å; angles 90.00, 90.00, 90.00 degrees
Sites, in units of the cell vectors:
Mg 0.000 0.500 0.000
Mg 0.500 0.000 0.000
Sn 0.000 0.000 0.000
Mo 0.000 0.000 0.500
Os 0.500 0.500 0.500

The space group is P4/mmm (123). The calculated formation energy is 1.888 eV/atom.

7.
Entry from Alexandria via LeMat-Bulk: a geometry-optimized MgTcMoOs structure (PBE-GGA).

Cell lengths 4.405, 4.405, 4.405 Å; angles 60.00, 60.00, 60.00 degrees
Sites, in units of the cell vectors:
Mg 0.000 0.000 0.000
Tc 0.250 0.250 0.250
Mo 0.500 0.500 0.500
Os 0.750 0.750 0.750

The space group is F-43m (216). The calculated formation energy is 0.088 eV/atom.

8.
Entry from Alexandria via LeMat-Bulk: a geometry-optimized MgZnMoOs structure (PBE-GGA).

Cell lengths 4.408, 4.408, 4.408 Å; angles 60.00, 60.00, 60.00 degrees
Sites, in units of the cell vectors:
Mg 0.000 0.000 0.000
Zn 0.250 0.250 0.250
Mo 0.500 0.500 0.500
Os 0.750 0.750 0.750

The space group is F-43m (216). The calculated formation energy is 0.039 eV/atom.

Here are the calculated DOS(E_F) numbers, same order: 0.753, 0.321, 0.777, 1.002, 0.478, 1.184, 0.540, 0.174 (states/eV per atom).
Here are the calculated final energy numbers, same order: -0.3177, -0.2306, -0.3107, -0.2132, -0.3028, -0.1456, -0.3093, -0.2276 (Ha/atom).